(1)
# GGA-PBE MnRhAu, relaxed
# * relative energy among the computed polymorphs: 0.000 eV per atom
data_MnRhAu
_space_group_name_H-M_alt 'P 1'
_space_group_IT_number 1
_cell_length_a 5.4140
_cell_length_b 5.4140
_cell_length_c 5.4140
_cell_angle_alpha 147.11
_cell_angle_beta 147.11
_cell_angle_gamma 47.20
loop_
_space_group_symop_operation_xyz
'x,y,z'
loop_
_atom_site_label
_atom_site_type_symbol
_atom_site_fract_x
_atom_site_fract_y
_atom_site_fract_z
Au1 Au 0.9934 0.9934 0.0000
Mn1 Mn 0.3229 0.3229 0.0000
Rh1 Rh 0.6837 0.6837 0.0000

---

(2)
# GGA-PBE MnRh3Au, relaxed
# * relative energy among the computed polymorphs: 0.000 eV per atom
data_MnRh3Au
_space_group_name_H-M_alt 'P 1'
_space_group_IT_number 1
_cell_length_a 4.4257
_cell_length_b 4.4257
_cell_length_c 4.4257
_cell_angle_alpha 90.00
_cell_angle_beta 90.00
_cell_angle_gamma 90.00
loop_
_space_group_symop_operation_xyz
'x,y,z'
loop_
_atom_site_label
_atom_site_type_symbol
_atom_site_fract_x
_atom_site_fract_y
_atom_site_fract_z
Rh1 Rh 0.0000 0.0000 0.5000
Rh2 Rh 0.0000 0.5000 0.0000
Rh3 Rh 0.5000 0.0000 0.0000
Au1 Au 0.5000 0.5000 0.5000
Mn1 Mn 0.0000 0.0000 0.0000

---

(3)
Entry from Alexandria: an optimized crystal structure of MnRh2Au (GGA-PBE).

CIF file:
```
data_MnRh2Au
_space_group_name_H-M_alt 'P 1'
_space_group_IT_number 1
_cell_length_a 2.7530
_cell_length_b 2.7530
_cell_length_c 8.9895
_cell_angle_alpha 90.00
_cell_angle_beta 90.00
_cell_angle_gamma 116.35
loop_
_space_group_symop_operation_xyz
'x,y,z'
loop_
_atom_site_label
_atom_site_type_symbol
_atom_site_fract_x
_atom_site_fract_y
_atom_site_fract_z
Rh1 Rh 0.0000 0.0000 0.9747
Rh2 Rh 0.0000 0.0000 0.5253
Mn1 Mn 0.5000 0.5000 0.7500
Au1 Au 0.5000 0.5000 0.2500
```

---

(4)
Entry from Alexandria: an optimized crystal structure of MnRh2Au (GGA-PBE).

CIF file:
```
data_MnRh2Au
_space_group_name_H-M_alt 'P 1'
_space_group_IT_number 1
_cell_length_a 4.7880
_cell_length_b 4.7880
_cell_length_c 4.7501
_cell_angle_alpha 78.77
_cell_angle_beta 78.77
_cell_angle_gamma 34.82
loop_
_space_group_symop_operation_xyz
'x,y,z'
loop_
_atom_site_label
_atom_site_type_symbol
_atom_site_fract_x
_atom_site_fract_y
_atom_site_fract_z
Mn1 Mn 0.2544 0.2544 0.2484
Rh1 Rh 0.7450 0.7450 0.7738
Rh2 Rh 0.9987 0.9987 0.9882
Au1 Au 0.5019 0.5019 0.4896
```

---

(5)
Entry from Alexandria: an optimized crystal structure of MnRhAu2 (GGA-PBE).

CIF file:
```
data_MnRhAu2
_space_group_name_H-M_alt 'P 1'
_space_group_IT_number 1
_cell_length_a 9.1572
_cell_length_b 9.1572
_cell_length_c 9.1572
_cell_angle_alpha 18.16
_cell_angle_beta 18.16
_cell_angle_gamma 18.16
loop_
_space_group_symop_operation_xyz
'x,y,z'
loop_
_atom_site_label
_atom_site_type_symbol
_atom_site_fract_x
_atom_site_fract_y
_atom_site_fract_z
Mn1 Mn 0.2500 0.2500 0.2500
Rh1 Rh 0.7500 0.7500 0.7500
Au1 Au 0.5025 0.5025 0.5025
Au2 Au 0.9975 0.9975 0.9975
```

---

(6)
Entry from Alexandria: an optimized crystal structure of Mn2RhAu (GGA-PBE).

CIF file:
```
data_Mn2RhAu
_space_group_name_H-M_alt 'P 1'
_space_group_IT_number 1
_cell_length_a 4.9925
_cell_length_b 4.9925
_cell_length_c 4.4201
_cell_angle_alpha 72.91
_cell_angle_beta 72.91
_cell_angle_gamma 36.39
loop_
_space_group_symop_operation_xyz
'x,y,z'
loop_
_atom_site_label
_atom_site_type_symbol
_atom_site_fract_x
_atom_site_fract_y
_atom_site_fract_z
Au1 Au 0.2530 0.2530 0.2025
Mn1 Mn 0.7554 0.7554 0.6982
Mn2 Mn 0.9986 0.9986 0.0435
Rh1 Rh 0.4929 0.4929 0.5559
```

---

(7)
Entry from Alexandria: an optimized crystal structure of Mn2RhAu (GGA-PBE).

CIF file:
```
data_Mn2RhAu
_space_group_name_H-M_alt 'P 1'
_space_group_IT_number 1
_cell_length_a 7.0005
_cell_length_b 7.0005
_cell_length_c 5.6686
_cell_angle_alpha 51.87
_cell_angle_beta 51.87
_cell_angle_gamma 90.00
loop_
_space_group_symop_operation_xyz
'x,y,z'
loop_
_atom_site_label
_atom_site_type_symbol
_atom_site_fract_x
_atom_site_fract_y
_atom_site_fract_z
Rh1 Rh 0.5000 0.5000 0.0000
Rh2 Rh 0.2500 0.7500 0.5000
Au1 Au 0.0000 0.0000 0.0000
Au2 Au 0.7500 0.2500 0.5000
Mn1 Mn 0.1383 0.6250 0.2500
Mn2 Mn 0.6117 0.1250 0.2500
Mn3 Mn 0.3750 0.3883 0.7500
Mn4 Mn 0.8750 0.8617 0.7500
```

---

(8)
Entry from Alexandria: an optimized crystal structure of MnRhAu2 (GGA-PBE).

CIF file:
```
data_MnRhAu2
_space_group_name_H-M_alt 'P 1'
_space_group_IT_number 1
_cell_length_a 4.8989
_cell_length_b 4.8989
_cell_length_c 4.7586
_cell_angle_alpha 75.98
_cell_angle_beta 75.98
_cell_angle_gamma 36.14
loop_
_space_group_symop_operation_xyz
'x,y,z'
loop_
_atom_site_label
_atom_site_type_symbol
_atom_site_fract_x
_atom_site_fract_y
_atom_site_fract_z
Rh1 Rh 0.2397 0.2397 0.2601
Au1 Au 0.9964 0.9964 0.0060
Au2 Au 0.7570 0.7570 0.7434
Mn1 Mn 0.5069 0.5069 0.4905
```

---

(9)
Entry from Alexandria: an optimized crystal structure of MnRh2Au (GGA-PBE).

CIF file:
```
data_MnRh2Au
_space_group_name_H-M_alt 'P 1'
_space_group_IT_number 1
_cell_length_a 8.8569
_cell_length_b 8.8569
_cell_length_c 8.8569
_cell_angle_alpha 18.37
_cell_angle_beta 18.37
_cell_angle_gamma 18.37
loop_
_space_group_symop_operation_xyz
'x,y,z'
loop_
_atom_site_label
_atom_site_type_symbol
_atom_site_fract_x
_atom_site_fract_y
_atom_site_fract_z
Rh1 Rh 0.0088 0.0088 0.0088
Rh2 Rh 0.4912 0.4912 0.4912
Au1 Au 0.2500 0.2500 0.2500
Mn1 Mn 0.7500 0.7500 0.7500
```

---

(10)
Entry from Alexandria: an optimized crystal structure of MnRh2Au (GGA-PBE).

CIF file:
```
data_MnRh2Au
_space_group_name_H-M_alt 'P 1'
_space_group_IT_number 1
_cell_length_a 6.9647
_cell_length_b 6.9647
_cell_length_c 5.5897
_cell_angle_alpha 51.47
_cell_angle_beta 51.47
_cell_angle_gamma 90.00
loop_
_space_group_symop_operation_xyz
'x,y,z'
loop_
_atom_site_label
_atom_site_type_symbol
_atom_site_fract_x
_atom_site_fract_y
_atom_site_fract_z
Rh1 Rh 0.5845 0.1250 0.2500
Rh2 Rh 0.1655 0.6250 0.2500
Rh3 Rh 0.3750 0.4155 0.7500
Rh4 Rh 0.8750 0.8345 0.7500
Mn1 Mn 0.2500 0.7500 0.5000
Mn2 Mn 0.5000 0.5000 0.0000
Au1 Au 0.0000 0.0000 0.0000
Au2 Au 0.7500 0.2500 0.5000
```

---

(11)
Entry from Alexandria: an optimized crystal structure of Mn2RhAu (GGA-PBE).

CIF file:
```
data_Mn2RhAu
_space_group_name_H-M_alt 'P 1'
_space_group_IT_number 1
_cell_length_a 8.6523
_cell_length_b 8.6523
_cell_length_c 8.6523
_cell_angle_alpha 19.26
_cell_angle_beta 19.26
_cell_angle_gamma 19.26
loop_
_space_group_symop_operation_xyz
'x,y,z'
loop_
_atom_site_label
_atom_site_type_symbol
_atom_site_fract_x
_atom_site_fract_y
_atom_site_fract_z
Au1 Au 0.7500 0.7500 0.7500
Mn1 Mn 0.5045 0.5045 0.5045
Mn2 Mn 0.9955 0.9955 0.9955
Rh1 Rh 0.2500 0.2500 0.2500
```

---

(12)
Entry from Alexandria: an optimized crystal structure of MnRhAu2 (GGA-PBE).

CIF file:
```
data_MnRhAu2
_space_group_name_H-M_alt 'P 1'
_space_group_IT_number 1
_cell_length_a 4.5322
_cell_length_b 4.5322
_cell_length_c 4.5322
_cell_angle_alpha 60.00
_cell_angle_beta 60.00
_cell_angle_gamma 60.00
loop_
_space_group_symop_operation_xyz
'x,y,z'
loop_
_atom_site_label
_atom_site_type_symbol
_atom_site_fract_x
_atom_site_fract_y
_atom_site_fract_z
Rh1 Rh 0.5000 0.5000 0.5000
Au1 Au 0.7500 0.7500 0.7500
Au2 Au 0.2500 0.2500 0.2500
Mn1 Mn 0.0000 0.0000 0.0000
```

---

| no. | calculated formation energy (meV per atom) |
| --- | --- |
| 1 | -24 |
| 2 | 895 |
| 3 | 87 |
| 4 | 40 |
| 5 | 180 |
| 6 | 6 |
| 7 | 342 |
| 8 | 4 |
| 9 | 21 |
| 10 | 351 |
| 11 | 105 |
| 12 | 48 |